Entry 1
The following is a PBE-GGA calculation of CuPt3Rh4 after structural relaxation, from the Alexandria database.

abc: 5.7450 5.7450 5.7450
angles: 80.73 125.86 125.11
Fractional positions:
Pt  0.9550  0.7416  0.6966
Rh  0.4592  0.7501  0.7091
Rh  0.4581  0.2536  0.7117
Pt  0.9550  0.2584  0.2134
Rh  0.4581  0.7464  0.2045
Pt  0.2078  0.0000  0.2078
Rh  0.9590  0.2499  0.7091
Cu  0.6988  0.5000  0.1988

Output
- Space group: Imm2, No. 44

=====

Entry 2
The following is a PBE-GGA calculation of CuPt3Rh4 after structural relaxation, from the Alexandria database.

abc: 3.8914 4.7327 7.2532
angles: 89.67 74.44 65.73
Fractional positions:
Rh  0.3706  0.3807  0.8780
Rh  0.6294  0.6193  0.1220
Pt  0.7429  0.7581  0.7561
Rh  0.8777  0.8740  0.3706
Cu  0.0000  0.0000  0.0000
Pt  0.2571  0.2419  0.2439
Pt  0.5000  0.5000  0.5000
Rh  0.1223  0.1260  0.6294

Output
- Space group: C2/m, No. 12

=====

In terms of stability, entry 2 leads; the second structure lies 213 meV per atom higher.